No. 1
Computed, not measured: Ho2ErZn3CuPt2 after structural relaxation at the GGA-PBE level of DFT.

It has space group Amm2 (No. 38), with a = 3.7726 Å, b = 12.5389 Å, c = 7.2511 Å, α = 90.00°, β = 90.00° and γ = 90.00°. The distinct sites, in fractional coordinates, are Ho at (0.0000, 0.2046, 0.0000), Er at (0.0000, 0.0000, 0.3863), Zn at (0.5000, 0.0000, 0.0391), Zn at (0.5000, 0.1216, 0.6735), Cu at (0.0000, 0.0000, 0.7949) and Pt at (0.5000, 0.1661, 0.2957).

The calculation puts the formation energy at -0.79 eV/atom. As for the uncorrected energy: -4.498 eV/atom.

---

No. 2
Computed, not measured: HoEr2Tm3CuS2 after structural relaxation at the GGA-PBE level of DFT.

It has space group Amm2 (No. 38), with a = 3.7823 Å, b = 13.6365 Å, c = 7.8829 Å, α = 90.00°, β = 90.00° and γ = 90.00°. The distinct sites, in fractional coordinates, are Ho at (0.0000, 0.0000, 0.0000), Er at (0.0000, 0.2061, 0.6190), Tm at (0.5000, 0.0000, 0.6665), Tm at (0.5000, 0.1269, 0.2863), Cu at (0.0000, 0.0000, 0.4136) and S at (0.5000, 0.1667, 0.9131).

As for the uncorrected energy: -5.037 eV/atom.

---

No. 3
Computed, not measured: Y2HoEr3CuS2 after structural relaxation at the GGA-PBE level of DFT.

It has space group Amm2 (No. 38), with a = 3.8129 Å, b = 13.7565 Å, c = 7.9106 Å, α = 90.00°, β = 90.00° and γ = 90.00°. The distinct sites, in fractional coordinates, are Y at (0.0000, 0.2067, 0.0000), Ho at (0.0000, 0.0000, 0.3797), Er at (0.5000, 0.0000, 0.0469), Er at (0.5000, 0.1257, 0.6663), Cu at (0.0000, 0.0000, 0.7932) and S at (0.5000, 0.1668, 0.2932).

As for the uncorrected energy: -5.502 eV/atom.

---

No. 4
Computed, not measured: HoEr2Sc3CuTe2 after structural relaxation at the GGA-PBE level of DFT.

It has space group Amm2 (No. 38), with a = 3.9308 Å, b = 13.8362 Å, c = 7.9898 Å, α = 90.00°, β = 90.00° and γ = 90.00°. The distinct sites, in fractional coordinates, are Ho at (0.0000, 0.0000, 0.0000), Er at (0.0000, 0.1969, 0.4081), Sc at (0.5000, 0.0000, 0.3677), Sc at (0.5000, 0.1190, 0.7234), Cu at (0.0000, 0.0000, 0.6038) and Te at (0.5000, 0.1670, 0.1052).

As for the uncorrected energy: -5.397 eV/atom.

---

No. 5
Computed, not measured: Ho2Er3ScCuTe2 after structural relaxation at the GGA-PBE level of DFT.

It has space group Amm2 (No. 38), with a = 3.8761 Å, b = 14.3613 Å, c = 8.2970 Å, α = 90.00°, β = 90.00° and γ = 90.00°. The distinct sites, in fractional coordinates, are Ho at (0.0000, 0.2016, 0.0000), Er at (0.5000, 0.0000, 0.0455), Er at (0.5000, 0.1207, 0.6738), Sc at (0.0000, 0.0000, 0.3967), Cu at (0.0000, 0.0000, 0.7974) and Te at (0.5000, 0.1639, 0.2999).

As for the uncorrected energy: -4.963 eV/atom.

---

No. 6
Computed, not measured: HoErCuSe3 after structural relaxation at the GGA-PBE level of DFT.

It has space group Cmcm (No. 63), with a = 3.8765 Å, b = 13.1500 Å, c = 10.4349 Å, α = 90.00°, β = 90.00° and γ = 90.00°. The distinct sites, in fractional coordinates, are Ho at (0.0000, 0.0000, 0.0000), Er at (0.0000, 0.2271, 0.2500), Cu at (0.0000, 0.4774, 0.7500), Se at (0.0000, 0.1000, 0.7500) and Se at (0.0000, 0.3527, 0.5741).

As for the uncorrected energy: -5.233 eV/atom.

---

No. 7
Computed, not measured: Y2HoEr3CuSe2 after structural relaxation at the GGA-PBE level of DFT.

It has space group Amm2 (No. 38), with a = 3.8525 Å, b = 14.0701 Å, c = 8.0957 Å, α = 90.00°, β = 90.00° and γ = 90.00°. The distinct sites, in fractional coordinates, are Y at (0.0000, 0.2050, 0.0000), Ho at (0.0000, 0.0000, 0.3852), Er at (0.5000, 0.0000, 0.0437), Er at (0.5000, 0.1233, 0.6707), Cu at (0.0000, 0.0000, 0.7949) and Se at (0.5000, 0.1667, 0.2951).

As for the uncorrected energy: -5.373 eV/atom.

---

No. 8
Computed, not measured: HoErCu2Si2 after structural relaxation at the GGA-PBE level of DFT.

It has space group P-3m1 (No. 164), with a = 4.1208 Å, b = 4.1208 Å, c = 7.4202 Å, α = 90.00°, β = 90.00° and γ = 120.00°. The distinct sites, in fractional coordinates, are Ho at (0.0000, 0.0000, 0.0000), Er at (0.0000, 0.0000, 0.5000), Cu at (0.3333, 0.6667, 0.2508) and Si at (0.3333, 0.6667, 0.7492).

As for the uncorrected energy: -5.239 eV/atom.

---

Asked for mass density across the records above, the calculation gives 11.1, 9.3, 7.8, 7.3, 8.6, 7.9, 8.1, 7.8 Mg/m³ in order.
Asked for total magnetic moment across the records above, the calculation gives 0.04, 3.10, 3.07, 0.04, 0.07, 0.01, 3.40, 0.01 Bohr magnetons per cell in order.